Density functional theory data (GGA-PBE) for Yb5Co4Si14 after structural relaxation.

## Properties
E_tot = -5.4066 eV/atom
D(E_F) = 126.9 states/eV per cell
mass density = 6.6 g cm⁻³
raw formation energy = -0.538 eV/atom
M_tot = 1.32 μB/cell

a b c (Å): 7.8296 7.7139 12.5065
angles (deg): 81.47 90.00 90.00
With the nearest neighbours (Å) after each atom.
Atoms (fractional coordinates):
Yb 0.0000 0.0000 0.5000  12 Si 2.89-3.02, 6 Co 3.03-3.10
Yb 0.5000 0.5000 0.5000  12 Si 2.89-3.02, 6 Co 3.03-3.10
Yb 0.2539 0.1574 0.8612  10 Si 2.90-3.19, 2 Co 3.08-3.10
Yb 0.7539 0.3426 0.1388  10 Si 2.90-3.19, 2 Co 3.08-3.10
Yb 0.7461 0.8426 0.1388  10 Si 2.90-3.19, 2 Co 3.08-3.10
Yb 0.2461 0.6574 0.8612  10 Si 2.90-3.19, 2 Co 3.08-3.10
Yb 0.2485 0.8372 0.1383  10 Si 2.90-3.17, 2 Co 3.08-3.10
Yb 0.7485 0.6628 0.8617  10 Si 2.90-3.17, 2 Co 3.08-3.10
Yb 0.7515 0.1628 0.8617  10 Si 2.90-3.17, 2 Co 3.08-3.10
Yb 0.2515 0.3372 0.1383  10 Si 2.90-3.17, 2 Co 3.08-3.10
Co 0.3761 0.8729 0.4995  7 Si 2.28-2.47
Co 0.8761 0.6271 0.5005  7 Si 2.28-2.47
Co 0.6239 0.1271 0.5005  7 Si 2.28-2.47
Co 0.1239 0.3729 0.4995  7 Si 2.28-2.47
Co 0.9999 0.9411 0.7472  5 Si 2.30-2.34
Co 0.4999 0.5589 0.2528  5 Si 2.30-2.34
Co 0.0001 0.0589 0.2528  5 Si 2.30-2.34
Co 0.5001 0.4411 0.7472  5 Si 2.30-2.34
Si 0.6679 0.8339 0.4996  3 Co 2.28-2.30
Si 0.1679 0.6661 0.5004  3 Co 2.28-2.30
Si 0.3321 0.1661 0.5004  3 Co 2.28-2.30
Si 0.8321 0.3339 0.4996  3 Co 2.28-2.30
Si 0.9931 0.7678 0.3261  2 Co 2.30-2.46, 2 Si 2.42-2.57
Si 0.4931 0.7322 0.6739  2 Co 2.30-2.46, 2 Si 2.42-2.57
Si 0.0069 0.2322 0.6739  2 Co 2.30-2.46, 2 Si 2.42-2.57
Si 0.5069 0.2678 0.3261  2 Co 2.30-2.46, 2 Si 2.42-2.57
Si 0.9930 0.6844 0.6738  2 Co 2.30-2.45, 2 Si 2.42-2.58
Si 0.4930 0.8156 0.3262  2 Co 2.30-2.45, 2 Si 2.42-2.58
Si 0.0070 0.3156 0.3262  2 Co 2.30-2.45, 2 Si 2.42-2.58
Si 0.5070 0.1844 0.6738  2 Co 2.30-2.45, 2 Si 2.42-2.58
Si 0.4992 0.8835 0.9495  2 Si 2.34-2.39
Si 0.9992 0.6165 0.0504  2 Si 2.34-2.39
Si 0.5008 0.1165 0.0505  2 Si 2.34-2.39
Si 0.0008 0.3835 0.9496  2 Si 2.34-2.39
Si 0.2717 0.9506 0.6731  2 Co 2.32-2.47, 3 Si 2.42-2.58
Si 0.7717 0.5494 0.3269  2 Co 2.32-2.47, 3 Si 2.42-2.58
Si 0.7283 0.0494 0.3269  2 Co 2.32-2.47, 3 Si 2.42-2.58
Si 0.2283 0.4506 0.6731  2 Co 2.32-2.47, 3 Si 2.42-2.58
Si 0.9998 0.8935 0.9366  1 Co 2.34, 2 Si 2.39-2.45
Si 0.4998 0.6065 0.0634  1 Co 2.34, 2 Si 2.39-2.45
Si 0.0002 0.1065 0.0634  1 Co 2.34, 2 Si 2.39-2.45
Si 0.5002 0.3935 0.9366  1 Co 2.34, 2 Si 2.39-2.45
Si 0.7279 0.9646 0.6733  2 Co 2.32-2.47, 3 Si 2.42-2.57
Si 0.2279 0.5354 0.3267  2 Co 2.32-2.47, 3 Si 2.42-2.57
Si 0.2721 0.0354 0.3267  2 Co 2.32-2.47, 3 Si 2.42-2.57
Si 0.7721 0.4646 0.6733  2 Co 2.32-2.47, 3 Si 2.42-2.57

---

Density functional theory data (GGA-PBE) for NaIn8Pd4 after structural relaxation.

## Properties
E_tot = -3.7212 eV/atom
D(E_F) = 4.2 states/eV per cell
mass density = 8.3 g cm⁻³
formation energy = -32.50 kJ per mole of atoms
M_tot = 0.00 μB/cell

a b c (Å): 5.8900 7.4291 7.4291
angles (deg): 80.96 66.65 66.65
With the nearest neighbours (Å) after each atom.
Atoms (fractional coordinates):
Na 0.0000 0.0000 0.0000  4 In 3.24
In 0.0000 0.3358 0.6642  4 Pd 2.94, 5 In 3.12-3.17, 1 Na 3.24
In 0.0000 0.6642 0.3358  4 Pd 2.94, 5 In 3.12-3.17, 1 Na 3.24
In 0.3358 0.6642 0.6642  4 Pd 2.94, 5 In 3.12-3.17, 1 Na 3.24
In 0.6642 0.3358 0.3358  4 Pd 2.94, 5 In 3.12-3.17, 1 Na 3.24
In 0.5000 0.7783 0.2217  4 Pd 2.84, 6 In 3.02-3.14
In 0.5000 0.2217 0.7783  4 Pd 2.84, 6 In 3.02-3.14
In 0.2783 0.2217 0.2217  4 Pd 2.84, 6 In 3.02-3.14
In 0.7217 0.7783 0.7783  4 Pd 2.84, 6 In 3.02-3.14
Pd 0.0000 0.0000 0.5000  8 In 2.84-2.94, 2 Pd 2.94
Pd 0.5000 0.0000 0.5000  8 In 2.84-2.94, 2 Pd 2.94
Pd 0.0000 0.5000 0.0000  8 In 2.84-2.94, 2 Pd 2.94
Pd 0.5000 0.5000 0.0000  8 In 2.84-2.94, 2 Pd 2.94

---

Density functional theory data (GGA-PBE) for Dy2RhAu after structural relaxation.

## Properties
E_tot = -5.6884 eV/atom
D(E_F) = 3.1 states/eV per cell
mass density = 10.7 g cm⁻³
formation energy = -70.45 kJ per mole of atoms
M_tot = 0.00 μB/cell

a b c (Å): 3.9964 3.9964 7.4101
angles (deg): 74.36 74.36 60.00
With the nearest neighbours (Å) after each atom.
Atoms (fractional coordinates):
Rh 0.0000 0.0000 0.0000  6 Dy 2.79
Au 0.5000 0.5000 0.5000  6 Dy 3.03
Dy 0.7406 0.7406 0.7782  3 Rh 2.79, 3 Au 3.03
Dy 0.2594 0.2594 0.2218  3 Rh 2.79, 3 Au 3.03

---

Density functional theory data (GGA-PBE) for Pr3ZnPd8 after structural relaxation.

## Properties
E_tot = -5.4480 eV/atom
D(E_F) = 5.5 states/eV per cell
mass density = 9.5 g cm⁻³
formation energy = -66.10 kJ per mole of atoms
M_tot = 0.00 μB/cell

a b c (Å): 5.4910 5.4910 9.4913
angles (deg): 73.19 73.19 60.00
With the nearest neighbours (Å) after each atom.
Atoms (fractional coordinates):
Pr 0.6214 0.6214 0.1358  12 Pd 3.19-3.25, 4 Pr 3.50-3.53
Pr 0.0124 0.0124 0.9629  9 Pd 3.04-3.31
Pr 0.4911 0.4911 0.5267  12 Pd 3.05-3.32, 3 Zn 3.21
Zn 0.1398 0.1398 0.5806  6 Pd 2.83-3.17
Pd 0.5623 0.0579 0.8175  6 Pd 2.72-2.77, 2 Pr 3.04
Pd 0.0605 0.5607 0.3183  6 Pd 2.74-2.75, 1 Zn 2.83
Pd 0.5623 0.5623 0.8175  6 Pd 2.72-2.77, 2 Pr 3.04
Pd 0.0605 0.0605 0.3183  6 Pd 2.74-2.75, 1 Zn 2.83
Pd 0.8104 0.8104 0.5689  6 Pd 2.72-2.75
Pd 0.3108 0.3108 0.0676  6 Pd 2.75
Pd 0.0579 0.5623 0.8175  6 Pd 2.72-2.77, 2 Pr 3.04
Pd 0.5607 0.0605 0.3183  6 Pd 2.74-2.75, 1 Zn 2.83